(1)
DFT (meta-GGA SCAN) results for a PBEsol-optimized structure of Zn2PBr.

Summary:
Final energy: -58.90 eV for the cell shown
N(E_F): 0.00 states/eV/cell
Relative energy among the computed polymorphs: 0.013 eV per atom
Theoretical density: 4.42 Mg/m³
Formation energy without anion corrections: -504 meV per atom

abc: 4.0328 4.0328 5.5803
angles: 90.00 90.00 90.00
Space group P-4m2 (No. 115)
Symmetry-distinct sites (fractional):
Zn 0.0000 0.5000 0.1903 [2 per cell]
P 0.0000 0.0000 0.0000 [1 per cell]
Br 0.5000 0.5000 0.5000 [1 per cell]

=====

(2)
DFT (meta-GGA SCAN) results for a PBEsol-optimized structure of KTaO3.

Summary:
Final energy: -108.12 eV for the cell shown
N(E_F): 0.00 states/eV/cell
Theoretical density: 7.01 Mg/m³
Formation energy without anion corrections: -2903 meV per atom

abc: 3.9897 3.9897 3.9897
angles: 90.00 90.00 90.00
Space group Pm-3m (No. 221)
Symmetry-distinct sites (fractional):
K 0.0000 0.0000 0.0000 [1 per cell]
Ta 0.5000 0.5000 0.5000 [1 per cell]
O 0.0000 0.5000 0.5000 [3 per cell]

=====

(3)
DFT (meta-GGA SCAN) results for a PBEsol-optimized structure of Ba2ZnTc.

Summary:
Final energy: -126.07 eV for the cell shown
N(E_F): 3.03 states/eV/cell
Energy relative to the elements: 0.40 eV per atom
Theoretical density: 6.30 Mg/m³

abc: 3.5778 3.5778 9.0254
angles: 90.00 90.00 90.00
Space group P4mm (No. 99)
Symmetry-distinct sites (fractional):
Ba 0.0000 0.0000 0.0000 [1 per cell]
Ba 0.5000 0.5000 0.4279 [1 per cell]
Zn 0.0000 0.0000 0.6702 [1 per cell]
Tc 0.5000 0.5000 0.7414 [1 per cell]

=====

(4)
DFT (meta-GGA SCAN) results for a PBEsol-optimized structure of AlIr3.

Summary:
Final energy: -663.05 eV for the cell shown
N(E_F): 15.60 states/eV/cell
Energy relative to the elements: 0.01 eV per atom
Theoretical density: 17.51 Mg/m³

abc: 8.5083 8.5083 2.7398
angles: 90.00 90.00 120.00
Space group R-3m (No. 166, hexagonal axes)
Symmetry-distinct sites (fractional):
Al 0.0000 0.0000 0.0000 [3 per cell]
Ir 0.0000 0.5000 0.0000 [9 per cell]

=====

(5)
DFT (meta-GGA SCAN) results for a PBEsol-optimized structure of CaAg2Cl.

Summary:
Final energy: -83.46 eV for the cell shown
N(E_F): 1.14 states/eV/cell
Relative energy among the computed polymorphs: 0.000 eV per atom
Theoretical density: 5.39 Mg/m³
Formation energy without anion corrections: -771 meV per atom

abc: 3.6544 3.6725 6.9361
angles: 90.00 105.34 90.00
Space group Pm (No. 6)
Symmetry-distinct sites (fractional):
Ca 0.0000 0.0000 0.0000 [1 per cell]
Ag 0.3405 0.5000 0.6856 [1 per cell]
Ag 0.7836 0.0000 0.5721 [1 per cell]
Cl 0.5835 0.5000 0.1657 [1 per cell]

=====

(6)
DFT (meta-GGA SCAN) results for a PBEsol-optimized structure of CuNi2Rh.

Summary:
Final energy: -81.10 eV for the cell shown
N(E_F): 3.52 states/eV/cell
Energy relative to the elements: 0.05 eV per atom
Theoretical density: 10.25 Mg/m³

abc: 2.5635 3.5503 5.0502
angles: 90.00 90.00 90.00
Space group Pmmm (No. 47)
Symmetry-distinct sites (fractional):
Cu 0.0000 0.0000 0.0000 [1 per cell]
Ni 0.5000 0.5000 0.2471 [2 per cell]
Rh 0.0000 0.0000 0.5000 [1 per cell]

=====

(7)
DFT (meta-GGA SCAN) results for a PBEsol-optimized structure of LiW2I.

Summary:
Final energy: -689.69 eV for the cell shown
N(E_F): 16.96 states/eV/cell
Theoretical density: 13.19 Mg/m³
Formation energy without anion corrections: 1521 meV per atom

abc: 6.3209 6.3209 6.3209
angles: 90.00 90.00 90.00
Space group Fm-3m (No. 225)
Symmetry-distinct sites (fractional):
Li 0.0000 0.0000 0.0000 [4 per cell]
W 0.2500 0.2500 0.2500 [8 per cell]
I 0.0000 0.0000 0.5000 [4 per cell]

=====

(8)
DFT (meta-GGA SCAN) results for a PBEsol-optimized structure of ZnMo2H2.

Summary:
Final energy: -179.47 eV for the cell shown
N(E_F): 2.74 states/eV/cell
Theoretical density: 8.75 Mg/m³

abc: 3.3122 3.3122 8.9699
angles: 90.00 90.00 90.00
Space group I4/mmm (No. 139)
Symmetry-distinct sites (fractional):
Zn 0.0000 0.0000 0.0000 [2 per cell]
Mo 0.0000 0.0000 0.3446 [4 per cell]
H 0.0000 0.5000 0.2500 [4 per cell]

=====

(9)
DFT (meta-GGA SCAN) results for a PBEsol-optimized structure of K9Co2S7.

Summary:
Final energy: -786.47 eV for the cell shown
N(E_F): 35.05 states/eV/cell
Theoretical density: 2.32 Mg/m³
Formation energy without anion corrections: -1092 meV per atom

abc: 12.5703 12.5703 12.5703
angles: 90.00 90.00 90.00
Space group Pa-3 (No. 205)
Symmetry-distinct sites (fractional):
K 0.0000 0.0000 0.0000 [4 per cell]
K 0.0602 0.7194 0.0621 [24 per cell]
K 0.1698 0.1698 0.1698 [8 per cell]
Co 0.1873 0.6873 0.8127 [8 per cell]
S 0.0000 0.0000 0.5000 [4 per cell]
S 0.0818 0.6782 0.3229 [24 per cell]

=====

(10)
DFT (meta-GGA SCAN) results for a PBEsol-optimized structure of BeIn2Cl.

Summary:
Final energy: -156.74 eV for the cell shown
N(E_F): 2.38 states/eV/cell
Relative energy among the computed polymorphs: 0.291 eV per atom
Theoretical density: 5.47 Mg/m³
Formation energy without anion corrections: 184 meV per atom

abc: 3.3278 5.4564 9.1671
angles: 90.00 90.00 90.00
Space group Immm (No. 71)
Symmetry-distinct sites (fractional):
Be 0.0000 0.0000 0.0000 [2 per cell]
In 0.0000 0.5000 0.2798 [4 per cell]
Cl 0.0000 0.0000 0.5000 [2 per cell]

=====

(11)
DFT (meta-GGA SCAN) results for a PBEsol-optimized structure of MgPb7.

Summary:
Final energy: -2142.10 eV for the cell shown
N(E_F): 14.77 states/eV/cell
Energy relative to the elements: -0.01 eV per atom
Theoretical density: 10.52 Mg/m³

abc: 9.7659 9.7659 9.7659
angles: 90.00 90.00 90.00
Space group Fm-3m (No. 225)
Symmetry-distinct sites (fractional):
Mg 0.0000 0.0000 0.0000 [4 per cell]
Pb 0.0000 0.0000 0.5000 [4 per cell]
Pb 0.0000 0.2500 0.2500 [24 per cell]

=====

(12)
DFT (meta-GGA SCAN) results for a PBEsol-optimized structure of LaOsPt.

Summary:
Final energy: -370.61 eV for the cell shown
N(E_F): 7.32 states/eV/cell
Energy relative to the elements: -0.04 eV per atom
Theoretical density: 14.03 Mg/m³

abc: 3.5576 3.5576 9.8068
angles: 90.00 90.00 90.00
Space group I4mm (No. 107)
Symmetry-distinct sites (fractional):
La 0.0000 0.0000 0.0000 [2 per cell]
Os 0.0000 0.0000 0.7202 [2 per cell]
Pt 0.0000 0.0000 0.2940 [2 per cell]

=====

(13)
DFT (meta-GGA SCAN) results for a PBEsol-optimized structure of TaIr2Se.

Summary:
Final energy: -228.75 eV for the cell shown
N(E_F): 2.29 states/eV/cell
Theoretical density: 17.47 Mg/m³
Formation energy without anion corrections: 28 meV per atom

abc: 2.9136 4.5573 4.6131
angles: 90.00 90.00 90.00
Space group Pmmm (No. 47)
Symmetry-distinct sites (fractional):
Ta 0.0000 0.0000 0.0000 [1 per cell]
Ir 0.0000 0.5000 0.5000 [1 per cell]
Ir 0.5000 0.5000 0.0000 [1 per cell]
Se 0.5000 0.0000 0.5000 [1 per cell]

=====

(14)
DFT (meta-GGA SCAN) results for a PBEsol-optimized structure of BiH2Rh2.

Summary:
Final energy: -305.37 eV for the cell shown
N(E_F): 4.73 states/eV/cell
Theoretical density: 12.00 Mg/m³

abc: 3.2973 3.2973 10.6115
angles: 90.00 90.00 90.00
Space group I4/mmm (No. 139)
Symmetry-distinct sites (fractional):
Bi 0.0000 0.0000 0.0000 [2 per cell]
H 0.0000 0.5000 0.2500 [4 per cell]
Rh 0.0000 0.0000 0.3359 [4 per cell]

=====

(15)
DFT (meta-GGA SCAN) results for a PBEsol-optimized structure of SrCrIr2.

Summary:
Final energy: -723.93 eV for the cell shown
N(E_F): 17.20 states/eV/cell
Energy relative to the elements: 0.47 eV per atom
Relative energy among the computed polymorphs: 0.528 eV per atom
Theoretical density: 12.71 Mg/m³

abc: 6.4944 6.4944 6.4944
angles: 90.00 90.00 90.00
Space group Fm-3m (No. 225)
Symmetry-distinct sites (fractional):
Sr 0.0000 0.0000 0.0000 [4 per cell]
Cr 0.0000 0.0000 0.5000 [4 per cell]
Ir 0.2500 0.2500 0.2500 [8 per cell]

=====

(16)
DFT (meta-GGA SCAN) results for a PBEsol-optimized structure of NbIrPd2.

Summary:
Final energy: -679.63 eV for the cell shown
N(E_F): 9.76 states/eV/cell
Energy relative to the elements: -0.03 eV per atom
Theoretical density: 13.62 Mg/m³

abc: 6.2391 6.2391 6.2391
angles: 90.00 90.00 90.00
Space group Fm-3m (No. 225)
Symmetry-distinct sites (fractional):
Nb 0.0000 0.0000 0.0000 [4 per cell]
Ir 0.0000 0.0000 0.5000 [4 per cell]
Pd 0.2500 0.2500 0.2500 [8 per cell]

=====

(17)
DFT (meta-GGA SCAN) results for a PBEsol-optimized structure of CsKNbCo2.

Summary:
Final energy: -101.70 eV for the cell shown
N(E_F): 3.63 states/eV/cell
Energy relative to the elements: 2.43 eV per atom
Theoretical density: 5.22 Mg/m³

abc: 4.7112 4.7112 5.4813
angles: 90.00 90.00 90.00
Space group P4/mmm (No. 123)
Symmetry-distinct sites (fractional):
Cs 0.0000 0.0000 0.0000 [1 per cell]
K 0.0000 0.0000 0.5000 [1 per cell]
Nb 0.5000 0.5000 0.0000 [1 per cell]
Co 0.0000 0.5000 0.5000 [2 per cell]

=====

(18)
DFT (meta-GGA SCAN) results for a PBEsol-optimized structure of SmInCu4.

Summary:
Final energy: -561.46 eV for the cell shown
N(E_F): 1.35 states/eV/cell
Energy relative to the elements: -0.29 eV per atom
Theoretical density: 9.33 Mg/m³

abc: 7.1771 7.1771 7.1771
angles: 90.00 90.00 90.00
Space group F-43m (No. 216)
Symmetry-distinct sites (fractional):
Sm 0.0000 0.0000 0.0000 [4 per cell]
In 0.2500 0.2500 0.2500 [4 per cell]
Cu 0.1243 0.1243 0.6243 [16 per cell]

=====

(19)
DFT (meta-GGA SCAN) results for a PBEsol-optimized structure of Mn5CuP4O16.

Summary:
Final energy: -613.88 eV for the cell shown
N(E_F): 9.92 states/eV/cell
Theoretical density: 3.87 Mg/m³
Formation energy without anion corrections: -2276 meV per atom

abc: 6.0335 11.7340 8.8068
angles: 90.00 98.55 90.00
Space group P2_1 (No. 4)
Symmetry-distinct sites (fractional):
Mn 0.0721 0.0000 0.2218 [2 per cell]
Mn 0.0821 0.6528 0.4376 [2 per cell]
Mn 0.1304 0.3487 0.1146 [2 per cell]
Mn 0.3708 0.7395 0.8885 [2 per cell]
Mn 0.4111 0.4424 0.5436 [2 per cell]
Cu 0.4279 0.0922 0.7940 [2 per cell]
P 0.0565 0.6228 0.1138 [2 per cell]
P 0.1396 0.8988 0.5959 [2 per cell]
P 0.3677 0.1942 0.4052 [2 per cell]
P 0.4454 0.4591 0.8786 [2 per cell]
O 0.0146 0.5085 0.0230 [2 per cell]
O 0.0709 0.4775 0.4311 [2 per cell]
O 0.0732 0.7192 0.9949 [2 per cell]
O 0.1273 0.8334 0.7487 [2 per cell]
O 0.1303 0.1480 0.7876 [2 per cell]
O 0.1361 0.8178 0.4592 [2 per cell]
O 0.1455 0.1237 0.3866 [2 per cell]
O 0.2349 0.4597 0.7538 [2 per cell]
O 0.2695 0.6175 0.2346 [2 per cell]
O 0.3618 0.9685 0.6131 [2 per cell]
O 0.3634 0.2780 0.5370 [2 per cell]
O 0.3654 0.9298 0.2159 [2 per cell]
O 0.3770 0.2574 0.2505 [2 per cell]
O 0.4218 0.6158 0.5670 [2 per cell]
O 0.4226 0.3655 0.9994 [2 per cell]
O 0.4815 0.5767 0.9589 [2 per cell]

=====

(20)
DFT (meta-GGA SCAN) results for a PBEsol-optimized structure of AlCuNi.

Summary:
Final energy: -161.64 eV for the cell shown
N(E_F): 4.45 states/eV/cell
Energy relative to the elements: -0.43 eV per atom
Relative energy among the computed polymorphs: 0.004 eV per atom
Theoretical density: 7.04 Mg/m³

abc: 6.1548 4.5010 5.1265
angles: 90.00 97.44 90.00
Space group P2_1/c (No. 14)
Symmetry-distinct sites (fractional):
Al 0.2201 0.1369 0.4895 [4 per cell]
Cu 0.4311 0.6567 0.6680 [4 per cell]
Ni 0.0997 0.6422 0.3464 [4 per cell]

=====

(21)
DFT (meta-GGA SCAN) results for a PBEsol-optimized structure of CrSn3C.

Summary:
Final energy: -129.52 eV for the cell shown
N(E_F): 1.61 states/eV/cell
Energy relative to the elements: 1.35 eV per atom
Relative energy among the computed polymorphs: 0.260 eV per atom
Theoretical density: 5.81 Mg/m³

abc: 4.9329 4.9329 4.9329
angles: 90.00 90.00 90.00
Space group Pm-3m (No. 221)
Symmetry-distinct sites (fractional):
Cr 0.0000 0.0000 0.0000 [1 per cell]
Sn 0.0000 0.0000 0.5000 [3 per cell]
C 0.5000 0.5000 0.5000 [1 per cell]

=====

(22)
DFT (meta-GGA SCAN) results for a PBEsol-optimized structure of Y2CrRu.

Summary:
Final energy: -218.05 eV for the cell shown
N(E_F): 7.29 states/eV/cell
Energy relative to the elements: -0.03 eV per atom
Theoretical density: 6.84 Mg/m³

abc: 3.2743 4.7370 10.3520
angles: 90.00 90.00 90.00
Space group Imm2 (No. 44)
Symmetry-distinct sites (fractional):
Y 0.0000 0.0000 0.0000 [2 per cell]
Y 0.0000 0.5000 0.2160 [2 per cell]
Cr 0.0000 0.0000 0.4263 [2 per cell]
Ru 0.0000 0.5000 0.7499 [2 per cell]